1.
This record from Alexandria describes crystalline InBr5 at its relaxed geometry. The functional is PBEsol.

## Properties
* formation energy (no corrections): 1.3 eV/f.u.
* uncorrected energy: -1.8325 eV per atom
* spin magnetization: 0.0 μB/f.u.

a = 6.100 Å, b = 6.100 Å, c = 6.100 Å
α = 60.00°, β = 60.00°, γ = 60.00°
Fractional positions:
Br1 0.127 0.624 0.624
Br2 0.624 0.624 0.624
Br3 0.250 0.250 0.250
In1 0.000 0.000 0.000
Br4 0.624 0.127 0.624
Br5 0.624 0.624 0.127

---

2.
This record from Alexandria describes crystalline InBr3 at its relaxed geometry. The functional is PBEsol.

## Properties
* formation energy (no corrections): -2.9 eV/f.u.
* uncorrected energy: -2.8731 eV per atom
* spin magnetization: 0.0 μB/f.u.

a = 6.981 Å, b = 7.533 Å, c = 11.101 Å
α = 90.00°, β = 90.00°, γ = 90.00°
Fractional positions:
Br1 0.628 0.825 0.089
Br2 0.796 0.851 0.750
Br3 0.628 0.825 0.411
Br4 0.204 0.149 0.250
In1 0.348 0.850 0.250
In2 0.652 0.150 0.750
Br5 0.372 0.175 0.589
Br6 0.128 0.675 0.411
Br7 0.128 0.675 0.089
In3 0.152 0.350 0.750
Br8 0.872 0.325 0.589
Br9 0.296 0.649 0.750
Br10 0.704 0.351 0.250
Br11 0.372 0.175 0.911
Br12 0.872 0.325 0.911
In4 0.848 0.650 0.250

---

3.
This record from Alexandria describes crystalline In4Br7 at its relaxed geometry. The functional is PBEsol.

## Properties
* formation energy (no corrections): -7.5 eV/f.u.
* uncorrected energy: -2.9608 eV per atom
* spin magnetization: 0.0 μB/f.u.

a = 7.487 Å, b = 7.487 Å, c = 15.901 Å
α = 76.38°, β = 76.38°, γ = 60.00°
Fractional positions:
Br1 0.634 0.634 0.602
Br2 0.908 0.365 0.819
Br3 0.634 0.130 0.602
Br4 0.635 0.092 0.181
In1 0.150 0.150 0.549
In2 0.500 0.500 0.500
Br5 0.092 0.092 0.181
In3 0.708 0.708 0.877
In4 0.292 0.292 0.123
Br6 0.366 0.870 0.398
Br7 0.908 0.908 0.819
In5 0.416 0.416 0.752
In6 0.000 0.000 0.000
Br8 0.092 0.635 0.181
Br9 0.870 0.366 0.398
In7 0.584 0.584 0.248
Br10 0.653 0.653 0.041
Br11 0.130 0.634 0.602
Br12 0.365 0.908 0.819
In8 0.850 0.850 0.451
Br13 0.347 0.347 0.959
Br14 0.366 0.366 0.398

---

4.
This record from Alexandria describes crystalline InBr2 at its relaxed geometry. The functional is PBEsol.

## Properties
* formation energy (no corrections): -2.2 eV/f.u.
* uncorrected energy: -2.9624 eV per atom
* spin magnetization: 0.0 μB/f.u.

a = 7.830 Å, b = 10.142 Å, c = 10.293 Å
α = 90.00°, β = 90.00°, γ = 90.00°
Fractional positions:
Br1 0.993 0.452 0.180
Br2 0.653 0.694 0.544
Br3 0.493 0.452 0.820
Br4 0.993 0.048 0.320
In1 0.750 0.500 0.680
Br5 0.347 0.306 0.456
In2 0.829 0.750 0.250
In3 0.171 0.250 0.750
Br6 0.653 0.806 0.956
In4 0.250 0.000 0.180
Br7 0.007 0.548 0.820
Br8 0.153 0.806 0.044
Br9 0.847 0.306 0.544
Br10 0.153 0.694 0.456
Br11 0.347 0.194 0.044
In5 0.329 0.750 0.750
Br12 0.007 0.952 0.680
Br13 0.507 0.548 0.180
In6 0.250 0.500 0.320
In7 0.750 0.000 0.820
Br14 0.847 0.194 0.956
In8 0.671 0.250 0.250
Br15 0.493 0.048 0.680
Br16 0.507 0.952 0.320

---

5.
This record from Alexandria describes crystalline InBr at its relaxed geometry. The functional is PBEsol.

## Properties
* formation energy (no corrections): -1.0 eV/f.u.
* uncorrected energy: -2.9335 eV per atom
* spin magnetization: 0.0 μB/f.u.

a = 4.012 Å, b = 4.012 Å, c = 9.275 Å
α = 90.00°, β = 90.00°, γ = 120.00°
Fractional positions:
Br1 0.333 0.667 0.173
In1 0.333 0.667 0.637
Br2 0.667 0.333 0.827
In2 0.667 0.333 0.363

---

6.
This record from Alexandria describes crystalline InIr3Br at its relaxed geometry. The functional is PBEsol.

## Properties
* formation energy (no corrections): 8.6 eV/f.u.
* uncorrected energy: -5.1356 eV per atom
* spin magnetization: 0.0 μB/f.u.

a = 4.596 Å, b = 4.596 Å, c = 4.596 Å
α = 90.00°, β = 90.00°, γ = 90.00°
Fractional positions:
Ir1 0.000 0.000 0.500
In1 0.500 0.500 0.500
Br1 0.000 0.000 0.000
Ir2 0.000 0.500 0.000
Ir3 0.500 0.000 0.000